## i
! Er2Ga3Pt5 (PBE, optimized geometry); values from VASP
&SYSTEM
  ibrav = 0, nat = 20, ntyp = 3
/
ATOMIC_SPECIES
Ga 69.72 Ga.upf
Er 167.26 Er.upf
Pt 195.08 Pt.upf
ATOMIC_POSITIONS angstrom
Ga 6.179 0.913 9.544
Ga 3.969 -1.051 8.305
Er 0.057 -1.920 1.822
Er 5.140 2.997 11.322
Er 4.673 -0.795 4.973
Pt 3.715 -3.468 4.316
Pt 3.934 1.490 7.450
Pt 0.811 3.241 5.971
Ga 5.079 -2.949 2.253
Ga 2.184 2.591 11.452
Pt 0.124 3.834 10.608
Er 1.094 1.476 8.326
Pt 2.978 3.506 9.234
Pt -0.292 0.668 5.273
Ga 2.284 1.394 5.126
Pt 2.195 -0.642 6.579
Pt 1.281 0.721 2.782
Pt 3.087 -1.377 1.997
Pt 3.466 0.669 10.240
Ga 1.594 -1.625 4.299
CELL_PARAMETERS angstrom
-2.442 -2.794 1.848
5.457 -3.791 1.481
2.488 7.449 9.898
! crystal system	orthorhombic
! SG	Cmc2_1
! magnetic moment	0.00	Bohr magnetons per cell

## ii
! Er2Ga3Pt5 (PBE, optimized geometry); values from VASP
&SYSTEM
  ibrav = 0, nat = 20, ntyp = 3
/
ATOMIC_SPECIES
Pt 195.08 Pt.upf
Ga 69.72 Ga.upf
Er 167.26 Er.upf
ATOMIC_POSITIONS angstrom
Pt 7.093 6.673 5.712
Ga 2.837 2.245 3.717
Pt 4.256 4.320 3.698
Pt 7.093 4.320 3.698
Ga 5.674 4.019 1.644
Pt 1.419 1.966 1.683
Pt 2.837 1.043 5.825
Ga 5.674 4.620 5.751
Ga 4.256 0.000 0.000
Pt 8.511 7.597 1.570
Pt 5.674 2.723 7.264
Er 2.837 4.810 0.748
Er 5.674 1.481 4.637
Pt 9.930 6.673 5.712
Ga 1.419 0.000 0.000
Ga 8.511 6.395 3.678
Pt 5.674 5.917 0.132
Er 8.511 3.830 6.647
Er 5.674 7.158 2.758
Pt 4.256 1.966 1.683
CELL_PARAMETERS angstrom
5.674 0.000 0.000
2.837 8.026 -0.633
2.837 0.613 8.028
! crystal system	orthorhombic
! SG	Ibam
! magnetic moment	0.00	Bohr magnetons per cell

Least stable = ii

## i
! ErGa3Pt3 (PBE, optimized geometry); values from VASP
&SYSTEM
  ibrav = 0, nat = 14, ntyp = 3
/
ATOMIC_SPECIES
Ga 69.72 Ga.upf
Pt 195.08 Pt.upf
Er 167.26 Er.upf
ATOMIC_POSITIONS angstrom
Ga 0.467 -6.116 -0.414
Ga -1.105 -2.776 -2.368
Pt 2.690 -5.519 0.305
Ga 5.255 -2.302 -2.210
Pt -0.165 -3.789 -0.392
Pt -1.415 -4.091 -4.365
Er 2.236 -4.360 -3.299
Pt 0.177 -1.167 -3.625
Pt 4.314 -1.289 -4.186
Ga -0.132 -2.482 -5.623
Er 0.000 0.000 0.000
Ga 2.059 -3.192 0.327
Pt 3.341 -1.583 -0.931
Ga 2.400 -0.571 -2.907
CELL_PARAMETERS angstrom
-3.184 -5.847 -1.481
1.946 0.589 -6.510
5.709 -3.461 1.394
! crystal system	cubic
! SG	Pm-3n
! magnetic moment	0.00	Bohr magnetons per cell

## ii
! ErGa3Pt3 (PBE, optimized geometry); values from VASP
&SYSTEM
  ibrav = 0, nat = 14, ntyp = 3
/
ATOMIC_SPECIES
Pt 195.08 Pt.upf
Ga 69.72 Ga.upf
Er 167.26 Er.upf
ATOMIC_POSITIONS angstrom
Pt -8.355 5.422 -1.547
Pt -5.506 8.479 -2.892
Ga -6.126 5.939 -2.778
Pt -6.878 8.621 1.275
Ga -7.339 7.821 -1.173
Pt -2.736 7.391 0.502
Ga -4.852 8.672 -0.350
Er -3.226 6.873 -2.265
Pt -5.585 4.334 1.847
Er -7.865 5.939 1.221
Pt -4.213 4.192 -2.320
Ga -3.752 4.992 0.128
Ga -4.965 6.873 1.733
Ga -6.239 4.141 -0.694
CELL_PARAMETERS angstrom
-0.745 6.771 0.823
-3.964 3.565 -4.319
-6.382 2.476 2.451
! crystal system	trigonal
! SG	R-3
! magnetic moment	0.00	Bohr magnetons per cell

Least stable = i